# GGA-PBE BaRh2W, optimized geometry
data_BaRh2W
_symmetry_space_group_name_H-M 'P 4/m m m'
_symmetry_Int_Tables_number 123
_symmetry_space_group_name_Hall '-P 4 2'
_cell_length_a 3.213
_cell_length_b 3.213
_cell_length_c 7.985
_cell_angle_alpha 90.00
_cell_angle_beta 90.00
_cell_angle_gamma 90.00
loop_
_atom_site_label
_atom_site_fract_x
_atom_site_fract_y
_atom_site_fract_z
_atom_site_occupancy
Ba1 0.000 0.000 0.000 1
Rh1 0.500 0.500 0.326 1
W1 0.000 0.000 0.500 1
# * E: -7.263 eV/atom
# * offset from the most stable computed form: 14 meV/atom
# * magnetic moment: 0.00 Bohr magnetons per cell
# * formation energy from the elements: 51 kJ/mol of formula units

---

# GGA-PBE Nd4Dy3Y4, optimized geometry
data_Nd4Dy3Y4
_symmetry_space_group_name_H-M 'P -1'
_symmetry_Int_Tables_number 2
_symmetry_space_group_name_Hall '-P 1'
_cell_length_a 3.546
_cell_length_b 5.672
_cell_length_c 18.371
_cell_angle_alpha 98.86
_cell_angle_beta 95.53
_cell_angle_gamma 90.00
loop_
_atom_site_label
_atom_site_fract_x
_atom_site_fract_y
_atom_site_fract_z
_atom_site_occupancy
Nd1 0.046 0.047 0.092 1
Nd2 0.180 0.680 0.360 1
Dy1 0.363 0.863 0.726 1
Dy2 0.500 0.500 0.000 1
Y1 0.090 0.592 0.181 1
Y2 0.233 0.233 0.466 1
# * E: -5.287 eV/atom
# * offset from the most stable computed form: 0 meV/atom
# * magnetic moment: 0.00 Bohr magnetons per cell
# * formation energy from the elements: 56 kJ/mol of formula units

---

# GGA-PBE LiInPt4, optimized geometry
data_LiInPt4
_symmetry_space_group_name_H-M 'P 4/m m m'
_symmetry_Int_Tables_number 123
_symmetry_space_group_name_Hall '-P 4 2'
_cell_length_a 3.784
_cell_length_b 3.784
_cell_length_c 7.833
_cell_angle_alpha 90.00
_cell_angle_beta 90.00
_cell_angle_gamma 90.00
loop_
_atom_site_label
_atom_site_fract_x
_atom_site_fract_y
_atom_site_fract_z
_atom_site_occupancy
Li1 0.000 0.000 0.000 1
In1 0.500 0.500 0.500 1
Pt1 0.000 0.500 0.239 1
# * E: -4.944 eV/atom
# * offset from the most stable computed form: 208 meV/atom
# * magnetic moment: 0.00 Bohr magnetons per cell
# * formation energy from the elements: -82 kJ/mol of formula units

---

# GGA-PBE SmCd2Pb2, optimized geometry
data_SmCd2Pb2
_symmetry_space_group_name_H-M 'C m c m'
_symmetry_Int_Tables_number 63
_symmetry_space_group_name_Hall '-C 2c 2'
_cell_length_a 4.597
_cell_length_b 24.745
_cell_length_c 4.649
_cell_angle_alpha 90.00
_cell_angle_beta 90.00
_cell_angle_gamma 90.00
loop_
_atom_site_label
_atom_site_fract_x
_atom_site_fract_y
_atom_site_fract_z
_atom_site_occupancy
Sm1 0.000 0.144 0.250 1
Cd1 0.000 0.040 0.750 1
Cd2 0.000 0.457 0.750 1
Pb1 0.000 0.250 0.750 1
Pb2 0.000 0.367 0.250 1
# * E: -3.072 eV/atom
# * magnetic moment: 0.00 Bohr magnetons per cell
# * formation energy from the elements: -135 kJ/mol of formula units

---

# GGA-PBE MnCrReRh, optimized geometry
data_MnCrReRh
_symmetry_space_group_name_H-M 'F -4 3 m'
_symmetry_Int_Tables_number 216
_symmetry_space_group_name_Hall 'F -4 2 3'
_cell_length_a 6.018
_cell_length_b 6.018
_cell_length_c 6.018
_cell_angle_alpha 90.00
_cell_angle_beta 90.00
_cell_angle_gamma 90.00
loop_
_atom_site_label
_atom_site_fract_x
_atom_site_fract_y
_atom_site_fract_z
_atom_site_occupancy
Mn1 0.000 0.000 0.000 1
Cr1 0.000 0.000 0.500 1
Re1 0.250 0.250 0.750 1
Rh1 0.250 0.250 0.250 1
# * E: -9.624 eV/atom
# * magnetic moment: 19.17 Bohr magnetons per cell
# * formation energy from the elements: 9 kJ/mol of formula units

---

# GGA-PBE ThSnI6, optimized geometry
data_ThSnI6
_symmetry_space_group_name_H-M 'P -3 1 c'
_symmetry_Int_Tables_number 163
_symmetry_space_group_name_Hall '-P 3 2c'
_cell_length_a 7.7959
_cell_length_b 7.7959
_cell_length_c 14.1723
_cell_angle_alpha 90.00
_cell_angle_beta 90.00
_cell_angle_gamma 120.00
loop_
_atom_site_label
_atom_site_fract_x
_atom_site_fract_y
_atom_site_fract_z
_atom_site_occupancy
Th1 0.3333 0.6667 0.2500 1
Sn1 0.0000 0.0000 0.0000 1
I1 0.0052 0.3448 0.3740 1
# * formation energy without anion corrections: -0.916 eV/atom
# * E: -3.506 eV/atom
# * magnetic moment: 0.00 Bohr magnetons per cell

---

# GGA-PBE KMg3Re, optimized geometry
data_KMg3Re
_symmetry_space_group_name_H-M 'P m -3 m'
_symmetry_Int_Tables_number 221
_symmetry_space_group_name_Hall '-P 4 2 3'
_cell_length_a 5.264
_cell_length_b 5.264
_cell_length_c 5.264
_cell_angle_alpha 90.00
_cell_angle_beta 90.00
_cell_angle_gamma 90.00
loop_
_atom_site_label
_atom_site_fract_x
_atom_site_fract_y
_atom_site_fract_z
_atom_site_occupancy
K1 0.000 0.000 0.000 1
Mg1 0.000 0.500 0.500 1
Re1 0.500 0.500 0.500 1
# * E: -2.945 eV/atom
# * offset from the most stable computed form: 0 meV/atom
# * magnetic moment: 0.81 Bohr magnetons per cell
# * formation energy from the elements: 348 kJ/mol of formula units

---

# GGA-PBE Ac4CoSb2, optimized geometry
data_Ac4CoSb2
_symmetry_space_group_name_H-M 'I 4/m m m'
_symmetry_Int_Tables_number 139
_symmetry_space_group_name_Hall '-I 4 2'
_cell_length_a 5.241
_cell_length_b 5.241
_cell_length_c 18.016
_cell_angle_alpha 90.00
_cell_angle_beta 90.00
_cell_angle_gamma 90.00
loop_
_atom_site_label
_atom_site_fract_x
_atom_site_fract_y
_atom_site_fract_z
_atom_site_occupancy
Ac1 0.000 0.000 0.171 1
Ac2 0.000 0.500 0.000 1
Co1 0.000 0.000 0.000 1
Sb1 0.000 0.000 0.360 1
# * formation energy without anion corrections: -0.635 eV/atom
# * E: -5.175 eV/atom
# * magnetic moment: 0.00 Bohr magnetons per cell

---

# GGA-PBE GaNiI2N, optimized geometry
data_GaNiI2N
_symmetry_space_group_name_H-M 'P 4/m m m'
_symmetry_Int_Tables_number 123
_symmetry_space_group_name_Hall '-P 4 2'
_cell_length_a 5.745
_cell_length_b 5.745
_cell_length_c 3.609
_cell_angle_alpha 90.00
_cell_angle_beta 90.00
_cell_angle_gamma 90.00
loop_
_atom_site_label
_atom_site_fract_x
_atom_site_fract_y
_atom_site_fract_z
_atom_site_occupancy
Ga1 0.000 0.000 0.000 1
Ni1 0.500 0.500 0.500 1
I1 0.000 0.500 0.000 1
N1 0.000 0.000 0.500 1
# * formation energy without anion corrections: 0.892 eV/atom
# * E: -3.154 eV/atom
# * offset from the most stable computed form: 485 meV/atom
# * magnetic moment: 2.05 Bohr magnetons per cell

---

# GGA-PBE RbTlS2, optimized geometry
data_RbTlS2
_symmetry_space_group_name_H-M 'C 1 2/c 1'
_symmetry_Int_Tables_number 15
_symmetry_space_group_name_Hall '-C 2yc'
_cell_length_a 9.380
_cell_length_b 10.114
_cell_length_c 6.967
_cell_angle_alpha 90.00
_cell_angle_beta 125.02
_cell_angle_gamma 90.00
loop_
_atom_site_label
_atom_site_fract_x
_atom_site_fract_y
_atom_site_fract_z
_atom_site_occupancy
Rb1 0.000 0.115 0.250 1
Tl1 0.000 0.475 0.750 1
S1 0.188 0.379 0.164 1
# * formation energy without anion corrections: -0.597 eV/atom
# * E: -3.495 eV/atom
# * offset from the most stable computed form: 39 meV/atom
# * magnetic moment: 0.00 Bohr magnetons per cell

---

# GGA-PBE ZnNi2Rh, optimized geometry
data_ZnNi2Rh
_symmetry_space_group_name_H-M 'I -4 m 2'
_symmetry_Int_Tables_number 119
_symmetry_space_group_name_Hall 'I -4 -2'
_cell_length_a 3.732
_cell_length_b 3.732
_cell_length_c 7.173
_cell_angle_alpha 90.00
_cell_angle_beta 90.00
_cell_angle_gamma 90.00
loop_
_atom_site_label
_atom_site_fract_x
_atom_site_fract_y
_atom_site_fract_z
_atom_site_occupancy
Zn1 0.000 0.000 0.000 1
Ni1 0.000 0.000 0.500 1
Ni2 0.000 0.500 0.750 1
Rh1 0.000 0.500 0.250 1
# * E: -5.166 eV/atom
# * magnetic moment: 3.07 Bohr magnetons per cell
# * formation energy from the elements: -46 kJ/mol of formula units

---

# GGA-PBE HfTiSe3, optimized geometry
data_HfTiSe3
_symmetry_space_group_name_H-M 'P m -3 m'
_symmetry_Int_Tables_number 221
_symmetry_space_group_name_Hall '-P 4 2 3'
_cell_length_a 4.865
_cell_length_b 4.865
_cell_length_c 4.865
_cell_angle_alpha 90.00
_cell_angle_beta 90.00
_cell_angle_gamma 90.00
loop_
_atom_site_label
_atom_site_fract_x
_atom_site_fract_y
_atom_site_fract_z
_atom_site_occupancy
Hf1 0.000 0.000 0.000 1
Ti1 0.500 0.500 0.500 1
Se1 0.000 0.500 0.500 1
# * formation energy without anion corrections: -0.183 eV/atom
# * E: -5.843 eV/atom
# * offset from the most stable computed form: 979 meV/atom
# * magnetic moment: 1.33 Bohr magnetons per cell

---

Q: What is the formula in the fourth record?
A: SmCd2Pb2

---

Q: What is the magnetic moment in the ninth record?
A: 2.05 Bohr magnetons per cell